[1]
First-principles (PBE-GGA) data for an optimized crystal structure of SmHo2Hg2, as listed in the Alexandria database.

Computed properties:
Magnetic moment: 0.0 μB per formula unit
Offset from the most stable computed form: 0 meV per atom
Formation enthalpy at 0 K: -0.384 eV/atom

Geometry as POSCAR:
```
SmHo2Hg2
1.0
-2.3268 -2.5820 -1.3622
4.1461 -2.6133 -2.1286
2.4914 -5.9799 12.1940
Sm Ho Hg
2 4 4
Direct
0.8522 0.7500 0.7071
0.1478 0.2500 0.2929
0.0481 0.7500 0.0953
0.9519 0.2500 0.9047
0.2358 0.7500 0.4721
0.7642 0.2500 0.5279
0.6445 0.7500 0.2880
0.3555 0.2500 0.7120
0.4544 0.7500 0.9085
0.5456 0.2500 0.0915
```

---

[2]
First-principles (PBE-GGA) data for an optimized crystal structure of Al2CoNi2, as listed in the Alexandria database.

Computed properties:
Magnetic moment: 0.0 μB per formula unit
Offset from the most stable computed form: 0 meV per atom
Formation enthalpy at 0 K: -0.391 eV/atom

Geometry as POSCAR:
```
Al2CoNi2
1.0
-0.7826 -2.1507 1.5868
0.0671 -1.6651 -2.2237
7.5509 -2.4869 0.3537
Al Co Ni
2 1 2
Direct
0.5000 0.4059 0.1883
0.5000 0.5941 0.8117
0.0000 0.0000 0.0000
0.0000 0.1855 0.6290
0.0000 0.8145 0.3710
```

---

[3]
First-principles (PBE-GGA) data for an optimized crystal structure of MgB2F, as listed in the Alexandria database.

Computed properties:
Magnetic moment: 0.0 μB per formula unit
Offset from the most stable computed form: 1749 meV per atom

Geometry as POSCAR:
```
MgB2F
1.0
0.0000 2.9057 2.9057
2.9057 0.0000 2.9057
2.9057 2.9057 0.0000
Mg B F
1 2 1
Direct
0.5000 0.5000 0.5000
0.2500 0.2500 0.2500
0.7500 0.7500 0.7500
0.0000 0.0000 0.0000
```

---

[4]
First-principles (PBE-GGA) data for an optimized crystal structure of ThZn2Ni2Ge, as listed in the Alexandria database.

Computed properties:
Magnetic moment: 0.0 μB per formula unit
Formation enthalpy at 0 K: -0.147 eV/atom

Geometry as POSCAR:
```
ThZn2Ni2Ge
1.0
-2.3632 -0.7187 3.6214
-2.8114 -2.4367 -2.3182
3.1124 -4.6461 1.1090
Th Zn Ni Ge
1 2 2 1
Direct
0.0000 0.0000 0.5000
0.5000 0.5000 0.7434
0.5000 0.5000 0.2566
0.5000 0.0000 0.0000
0.0000 0.5000 0.0000
0.0000 0.0000 0.0000
```

---

[5]
First-principles (PBE-GGA) data for an optimized crystal structure of GaNi10B3, as listed in the Alexandria database.

Computed properties:
Magnetic moment: 0.0 μB per formula unit
Formation enthalpy at 0 K: -0.278 eV/atom

Geometry as POSCAR:
```
GaNi10B3
1.0
6.3958 0.0000 3.6926
2.1319 6.0300 3.6926
0.0000 0.0000 7.3852
Ga Ni B
2 20 6
Direct
0.2500 0.2500 0.2500
0.7500 0.7500 0.7500
0.0000 0.0000 0.3336
0.0000 0.3336 0.0000
0.3336 0.0000 0.0000
0.6664 0.3336 0.0000
0.3823 0.3823 0.3823
0.1470 0.6177 0.6177
0.3823 0.8530 0.3823
0.6664 0.0000 0.3336
0.3823 0.3823 0.8530
0.8530 0.3823 0.3823
0.6177 0.6177 0.1470
0.0000 0.0000 0.6664
0.3336 0.6664 0.0000
0.0000 0.6664 0.3336
0.0000 0.3336 0.6664
0.6664 0.0000 0.0000
0.6177 0.6177 0.6177
0.0000 0.6664 0.0000
0.6177 0.1470 0.6177
0.3336 0.0000 0.6664
0.7270 0.7270 0.2730
0.7270 0.2730 0.7270
0.2730 0.7270 0.7270
0.2730 0.2730 0.7270
0.7270 0.2730 0.2730
0.2730 0.7270 0.2730
```

---

[6]
First-principles (PBE-GGA) data for an optimized crystal structure of Li5H2O, as listed in the Alexandria database.

Computed properties:
Magnetic moment: 0.0 μB per formula unit
Electronic total energy: -3.459 eV/atom

Geometry as POSCAR:
```
Li5H2O
1.0
-3.3450 1.2460 1.4294
-0.0947 -0.3276 -5.1078
-3.1279 -9.1356 0.6439
Li H O
10 4 2
Direct
0.9497 0.8994 0.8869
0.9497 0.8994 0.6131
0.3137 0.6275 0.4070
0.3137 0.6275 0.0930
0.7158 0.4316 0.2500
0.2842 0.5684 0.7500
0.6863 0.3725 0.5930
0.6863 0.3725 0.9070
0.0503 0.1006 0.1131
0.0503 0.1006 0.3869
0.8573 0.7146 0.4385
0.8573 0.7146 0.0615
0.1427 0.2854 0.5615
0.1427 0.2854 0.9385
0.8078 0.6157 0.7500
0.1922 0.3843 0.2500
```

---

[7]
First-principles (PBE-GGA) data for an optimized crystal structure of Li2MgZn, as listed in the Alexandria database.

Computed properties:
Magnetic moment: 0.0 μB per formula unit
Formation enthalpy at 0 K: -0.093 eV/atom

Geometry as POSCAR:
```
Li2MgZn
1.0
3.0489 0.0000 0.0000
-1.5245 4.9184 -0.1733
0.0000 -1.2060 4.7982
Li Mg Zn
2 1 1
Direct
0.0136 0.0271 0.9974
0.2549 0.5099 0.7720
0.4901 0.9801 0.4765
0.7414 0.4829 0.2541
```

---

[8]
First-principles (PBE-GGA) data for an optimized crystal structure of NdSnGeRh2, as listed in the Alexandria database.

Computed properties:
Magnetic moment: 0.0 μB per formula unit
Formation enthalpy at 0 K: -0.612 eV/atom

Geometry as POSCAR:
```
NdSnGeRh2
1.0
4.4830 0.0000 0.0000
-2.2415 6.4223 0.0000
0.0000 0.0000 7.3499
Nd Sn Ge Rh
2 2 2 4
Direct
0.3952 0.7904 0.7500
0.6048 0.2096 0.2500
0.6928 0.3855 0.7500
0.3072 0.6145 0.2500
0.0000 0.0000 0.0000
0.0000 0.0000 0.5000
0.1792 0.3583 0.9547
0.8208 0.6417 0.0453
0.1792 0.3583 0.5453
0.8208 0.6417 0.4547
```

---

[9]
First-principles (PBE-GGA) data for an optimized crystal structure of CdRe2Ir, as listed in the Alexandria database.

Computed properties:
Magnetic moment: 0.0 μB per formula unit
Formation enthalpy at 0 K: 0.571 eV/atom

Geometry as POSCAR:
```
CdRe2Ir
1.0
-0.7884 4.4112 -0.1791
-1.6900 2.1226 3.5709
2.5653 2.8334 2.3460
Re Ir Cd
2 1 1
Direct
0.0000 0.0000 0.0000
0.2500 0.2500 0.2500
0.7500 0.7500 0.7500
0.5000 0.5000 0.5000
```

---

[10]
First-principles (PBE-GGA) data for an optimized crystal structure of Ce2Pd8Pt, as listed in the Alexandria database.

Computed properties:
Magnetic moment: 0.4 μB per formula unit
Formation enthalpy at 0 K: -0.490 eV/atom

Geometry as POSCAR:
```
Ce2Pd8Pt
1.0
4.2186 0.0000 0.0000
0.0000 4.2186 0.0000
0.0000 0.0000 11.2793
Ce Pd Pt
2 8 1
Direct
0.0000 0.0000 0.3145
0.0000 0.0000 0.6855
0.0000 0.5000 0.5000
0.5000 0.0000 0.5000
0.5000 0.5000 0.3231
0.5000 0.5000 0.6769
0.0000 0.5000 0.1468
0.5000 0.0000 0.1468
0.0000 0.5000 0.8532
0.5000 0.0000 0.8532
0.0000 0.0000 0.0000
```

---

[11]
First-principles (PBE-GGA) data for an optimized crystal structure of Ca6Pb2F, as listed in the Alexandria database.

Computed properties:
Magnetic moment: 0.3 μB per formula unit
Electronic total energy: -3.276 eV/atom

Geometry as POSCAR:
```
Ca6Pb2F
1.0
6.9195 0.0000 0.2886
0.0000 8.4756 0.0000
-0.4446 0.0000 9.8153
Ca Pb F
12 4 2
Direct
0.9084 0.9785 0.2688
0.8151 0.6575 0.5489
0.8350 0.6900 0.9441
0.6650 0.1900 0.5559
0.6849 0.1575 0.9511
0.5916 0.4785 0.2312
0.0916 0.0215 0.7312
0.1849 0.3425 0.4511
0.1650 0.3100 0.0559
0.3350 0.8100 0.4441
0.3151 0.8425 0.0489
0.4084 0.5215 0.7688
0.9587 0.3875 0.7563
0.5413 0.8875 0.7437
0.4587 0.1125 0.2563
0.0413 0.6125 0.2437
0.5000 0.5000 0.0000
0.0000 0.0000 0.5000
```

---

[12]
First-principles (PBE-GGA) data for an optimized crystal structure of YSbAsI2, as listed in the Alexandria database.

Computed properties:
Magnetic moment: 0.0 μB per formula unit
Offset from the most stable computed form: 114 meV per atom

Geometry as POSCAR:
```
YSbAsI2
1.0
-0.1300 -2.5635 -4.7537
4.8798 -2.0935 0.9955
-2.4917 -4.5968 2.5470
I Sb As Y
2 1 1 1
Direct
0.0000 0.5000 0.0000
0.5000 0.0000 0.0000
0.0000 0.0000 0.5000
0.0000 0.0000 0.0000
0.5000 0.5000 0.5000
```

---

[13]
First-principles (PBE-GGA) data for an optimized crystal structure of Na2Cd5Au, as listed in the Alexandria database.

Computed properties:
Magnetic moment: 0.0 μB per formula unit
Formation enthalpy at 0 K: -0.090 eV/atom

Geometry as POSCAR:
```
Na2Cd5Au
1.0
4.4921 0.0000 0.0000
0.0000 4.4921 0.0000
-2.2461 -2.2461 9.1147
Na Cd Au
2 5 1
Direct
0.7499 0.7499 0.4999
0.2501 0.2501 0.5001
0.5000 0.5000 0.0000
0.8837 0.3837 0.7674
0.3837 0.8837 0.7674
0.1163 0.6163 0.2326
0.6163 0.1163 0.2326
0.0000 0.0000 0.0000
```

---

[14]
First-principles (PBE-GGA) data for an optimized crystal structure of KMnAgTe2, as listed in the Alexandria database.

Computed properties:
Magnetic moment: 5.0 μB per formula unit
Electronic total energy: -4.288 eV/atom

Geometry as POSCAR:
```
KMnAgTe2
1.0
-2.5606 6.2563 -0.7588
-5.3576 -2.4759 -2.3348
-0.2289 0.9006 8.1973
K Mn Ag Te
2 2 2 4
Direct
0.2428 0.7500 0.5000
0.7572 0.2500 0.5000
0.5000 0.7500 0.0000
0.5000 0.2500 0.0000
0.0000 0.0000 0.0000
0.0000 0.5000 0.0000
0.7097 0.8830 0.7660
0.7097 0.6170 0.2340
0.2903 0.3830 0.7660
0.2903 0.1170 0.2340
```

---

[15]
First-principles (PBE-GGA) data for an optimized crystal structure of Mg4Tc, as listed in the Alexandria database.

Computed properties:
Magnetic moment: 1.6 μB per formula unit
Offset from the most stable computed form: 505 meV per atom
Formation enthalpy at 0 K: 0.652 eV/atom

Geometry as POSCAR:
```
Mg4Tc
1.0
-4.2221 -5.1029 4.5523
-6.3383 -0.2688 4.9339
3.7020 2.1573 -6.7993
Mg Tc
4 1
Direct
0.7500 0.2500 0.5000
0.2500 0.7500 0.5000
0.5874 0.5874 0.0000
0.4126 0.4126 0.0000
0.0000 0.0000 0.0000
```

---

[16]
First-principles (PBE-GGA) data for an optimized crystal structure of TbCe3P4, as listed in the Alexandria database.

Computed properties:
Magnetic moment: 1.7 μB per formula unit
Offset from the most stable computed form: 0 meV per atom
Formation enthalpy at 0 K: -1.526 eV/atom

Geometry as POSCAR:
```
TbCe3P4
1.0
4.0765 0.0000 0.0000
0.0000 7.0554 -0.0680
0.0000 -2.2889 6.6741
Tb Ce P
1 3 4
Direct
0.5000 0.0000 0.0000
0.0000 0.0000 0.5000
0.5000 0.5000 0.5000
0.0000 0.5000 0.0000
0.0000 0.2487 0.2487
0.5000 0.7510 0.2490
0.0000 0.7513 0.7513
0.5000 0.2490 0.7510
```

---

[17]
First-principles (PBE-GGA) data for an optimized crystal structure of KTmBeSe3, as listed in the Alexandria database.

Computed properties:
Magnetic moment: 0.0 μB per formula unit
Electronic total energy: -4.692 eV/atom

Geometry as POSCAR:
```
KTmBeSe3
1.0
3.9720 0.0000 0.0000
0.0000 9.2156 -0.3413
0.0000 -2.7740 9.0551
K Tm Be Se
2 2 2 6
Direct
0.2500 0.2032 0.2329
0.7500 0.7968 0.7671
0.2500 0.6683 0.1452
0.7500 0.3317 0.8548
0.2500 0.0777 0.6030
0.7500 0.9223 0.3970
0.7500 0.8882 0.1545
0.2500 0.1118 0.8455
0.2500 0.8227 0.4697
0.7500 0.1773 0.5303
0.7500 0.4617 0.1673
0.2500 0.5383 0.8327
```

---

[18]
First-principles (PBE-GGA) data for an optimized crystal structure of NaSmBr4, as listed in the Alexandria database.

Computed properties:
Magnetic moment: 0.0 μB per formula unit
Offset from the most stable computed form: 58 meV per atom

Geometry as POSCAR:
```
NaSmBr4
1.0
5.7011 0.0000 0.0000
-2.8506 9.3352 -0.2061
0.0000 -3.0369 9.4350
Na Sm Br
2 2 8
Direct
0.1005 0.2011 0.7023
0.8995 0.7989 0.2977
0.1931 0.3862 0.2920
0.8069 0.6138 0.7080
0.0680 0.1359 0.3886
0.1138 0.2276 0.0113
0.7187 0.4373 0.3670
0.6596 0.3191 0.7273
0.3404 0.6809 0.2727
0.2813 0.5627 0.6330
0.8862 0.7724 0.9887
0.9320 0.8641 0.6114
```

---

[19]
First-principles (PBE-GGA) data for an optimized crystal structure of PtC4F2, as listed in the Alexandria database.

Computed properties:
Magnetic moment: 6.0 μB per formula unit
Electronic total energy: -4.649 eV/atom

Geometry as POSCAR:
```
PtC4F2
1.0
-1.9864 -3.6065 -0.5663
3.3834 -1.5765 -1.8277
3.0087 -4.8400 5.0189
C Pt F
4 1 2
Direct
0.8572 0.8572 0.2856
0.1428 0.1428 0.7144
0.0000 0.5000 0.0000
0.5000 0.0000 0.0000
0.0000 0.0000 0.0000
0.7640 0.7640 0.4720
0.2360 0.2360 0.5280
```

---

[20]
First-principles (PBE-GGA) data for an optimized crystal structure of CoH6RhPb, as listed in the Alexandria database.

Computed properties:
Magnetic moment: 1.5 μB per formula unit
Electronic total energy: -4.143 eV/atom

Geometry as POSCAR:
```
CoH6RhPb
1.0
4.6554 0.0010 0.0003
2.3286 4.0316 -0.0007
0.0004 -0.0012 4.6314
Co H Rh Pb
1 6 1 1
Direct
0.3333 0.3334 0.5000
0.0112 0.4143 0.2887
0.4141 0.0113 0.7113
0.5750 0.4140 0.7111
0.0108 0.5749 0.7112
0.4140 0.5749 0.2888
0.5748 0.0108 0.2887
0.6666 0.6666 0.5000
0.0000 0.0000 0.0001
```